This record from the Alexandria database describes a geometry-optimized NaMnF3 structure. The functional is GGA+U.

E   -5.602 eV per atom

Lattice parameters (Å, degrees): 5.8309 8.1193 5.6113 90.00 90.00 90.00
Positions (direct):
Na (0.0564, 0.2500, 0.0153)
Na (0.4436, 0.7500, 0.5153)
Na (0.5564, 0.2500, 0.4847)
Na (0.9436, 0.7500, 0.9847)
Mn (0.0000, 0.0000, 0.5000)
Mn (0.0000, 0.5000, 0.5000)
Mn (0.5000, 0.0000, 0.0000)
Mn (0.5000, 0.5000, 0.0000)
F (0.0542, 0.7500, 0.3804)
F (0.1955, 0.5632, 0.8086)
F (0.1955, 0.9368, 0.8086)
F (0.3045, 0.0632, 0.3086)
F (0.3045, 0.4368, 0.3086)
F (0.4458, 0.2500, 0.8804)
F (0.5542, 0.7500, 0.1196)
F (0.6955, 0.5632, 0.6914)
F (0.6955, 0.9368, 0.6914)
F (0.8045, 0.0632, 0.1914)
F (0.8045, 0.4368, 0.1914)
F (0.9458, 0.2500, 0.6196)